DFT (PBE) results for a geometry-optimized Rb4Sn3Cl10 structure.

Properties
M_tot   0.0 μB per cell
DFT total energy   -118.3 eV/cell

Geometry as CIF:
```
data_Rb4Sn3Cl10
_symmetry_space_group_name_H-M 'I 4/m m m'
_symmetry_Int_Tables_number 139
_symmetry_space_group_name_Hall '-I 4 2'
_cell_length_a 5.611
_cell_length_b 5.611
_cell_length_c 38.957
_cell_angle_alpha 90.00
_cell_angle_beta 90.00
_cell_angle_gamma 90.00
loop_
_atom_site_label
_atom_site_type_symbol
_atom_site_fract_x
_atom_site_fract_y
_atom_site_fract_z
Rb1 Rb 0.000 0.000 0.067
Rb2 Rb 0.000 0.000 0.200
Sn1 Sn 0.000 0.000 0.353
Sn2 Sn 0.000 0.000 0.500
Cl1 Cl 0.000 0.000 0.284
Cl2 Cl 0.000 0.000 0.428
Cl3 Cl 0.000 0.500 0.000
Cl4 Cl 0.000 0.500 0.145
```